PBE CuTcSe2, relaxed; energy above the lowest structure with this stoichiometry = 57.0 meV per atom; energy relative to the elements, uncorrected = 23 meV/atom; space group = I-42d (122)
1.0
-2.751 2.751 5.694
2.751 -2.751 5.694
2.751 2.751 -5.694
Cu Tc Se
2 2 4
direct
0.000 0.000 0.000
0.750 0.250 0.500
0.250 0.750 0.500
0.500 0.500 0.000
0.129 0.625 0.004
0.375 0.379 0.504
0.621 0.125 0.996
0.875 0.871 0.496

PBE Ac3Nd6Dy, relaxed; space group = R-3 (148); energy of formation from the pure elements = 0.342 eV/atom
1.0
5.112 2.952 4.322
-5.112 2.952 4.322
0.000 -5.903 4.322
Ac Nd Dy
3 6 1
direct
0.000 0.000 0.000
0.258 0.258 0.258
0.742 0.742 0.742
0.095 0.423 0.749
0.251 0.905 0.577
0.423 0.749 0.095
0.577 0.251 0.905
0.749 0.095 0.423
0.905 0.577 0.251
0.500 0.500 0.500

| no. | energy (eV per atom) | N(E_F) (states/eV per atom) |
| --- | --- | --- |
| 1 | -5.335 | 0.855 |
| 2 | -4.211 | 2.396 |